Compound: Nb2AlSeCl
Source: Alexandria
Functional: PBE
Structure: relaxed

## Properties
Space-group type: No. 123
DOS at the Fermi energy in states/eV per atom: 1.25
Energy relative to the elements, uncorrected in eV per formula unit: 5.25

abc: 4.999 4.999 4.678
angles: 90.00 90.00 90.00
Sites, in units of the cell vectors:
Nb 0.000 0.500 0.000
Nb 0.500 0.000 0.000
Al 0.000 0.000 0.000
Se 0.000 0.000 0.500
Cl 0.500 0.500 0.500

Compound: NbAlTlCl2
Source: Alexandria
Functional: PBE
Structure: relaxed

## Properties
Space-group type: No. 123
DOS at the Fermi energy in states/eV per atom: 1.86
Energy relative to the elements, uncorrected in eV per formula unit: 2.32

abc: 4.561 4.561 6.280
angles: 90.00 90.00 90.00
Sites, in units of the cell vectors:
Nb 0.000 0.000 0.000
Al 0.500 0.500 0.500
Tl 0.500 0.500 0.000
Cl 0.000 0.500 0.500
Cl 0.500 0.000 0.500

Compound: YNbAl2Cl
Source: Alexandria
Functional: PBE
Structure: relaxed

## Properties
Space-group type: No. 123
DOS at the Fermi energy in states/eV per atom: 1.77
Energy relative to the elements, uncorrected in eV per formula unit: 5.57

abc: 5.491 5.491 4.883
angles: 90.00 90.00 90.00
Sites, in units of the cell vectors:
Y 0.000 0.000 0.000
Nb 0.500 0.500 0.500
Al 0.000 0.500 0.000
Al 0.500 0.000 0.000
Cl 0.000 0.000 0.500

Compound: NbAlZn2Cl
Source: Alexandria
Functional: PBE
Structure: relaxed

## Properties
Space-group type: No. 123
DOS at the Fermi energy in states/eV per atom: 0.61
Energy relative to the elements, uncorrected in eV per formula unit: 4.62

abc: 4.630 4.630 4.678
angles: 90.00 90.00 90.00
Sites, in units of the cell vectors:
Nb 0.000 0.000 0.000
Al 0.500 0.500 0.000
Zn 0.000 0.500 0.500
Zn 0.500 0.000 0.500
Cl 0.500 0.500 0.500

Compound: ZrNb2AlCl
Source: Alexandria
Functional: PBE
Structure: relaxed

## Properties
Space-group type: No. 123
DOS at the Fermi energy in states/eV per atom: 1.65
Energy relative to the elements, uncorrected in eV per formula unit: 5.90

abc: 4.811 4.811 5.138
angles: 90.00 90.00 90.00
Sites, in units of the cell vectors:
Zr 0.000 0.000 0.000
Nb 0.000 0.500 0.500
Nb 0.500 0.000 0.500
Al 0.000 0.000 0.500
Cl 0.500 0.500 0.000

Compound: Nd4AlCl5
Source: Alexandria
Functional: PBE
Structure: relaxed

## Properties
Space-group type: No. 12
DOS at the Fermi energy in states/eV per atom: 0.36
Energy relative to the elements, uncorrected in eV per formula unit: -15.76

abc: 9.492 9.492 8.687
angles: 103.93 103.93 24.44
Sites, in units of the cell vectors:
Nd 0.000 0.000 0.244
Nd 0.000 0.000 0.756
Nd 0.342 0.342 0.906
Nd 0.658 0.658 0.094
Al 0.500 0.500 0.000
Cl 0.166 0.166 0.327
Cl 0.172 0.172 0.860
Cl 0.500 0.500 0.500
Cl 0.828 0.828 0.140
Cl 0.834 0.834 0.673